Model a:
Density functional theory data (PBE-GGA) for Li2MoCl after structural relaxation.

Calculated values
density of states at the Fermi level = 10.1 states/eV per cell
space-group type = Fm-3m (225)
total magnetic moment = 20.08 Bohr magnetons per cell

Cell: 6.9827 6.9827 6.9827 Å, 90.00 90.00 90.00°
Closest atoms and distances in Å follow each position.
Fractional positions:
Li: 0.2500 0.2500 0.2500  4 Cl 3.02, 4 Mo 3.02
Li: 0.2500 0.2500 0.7500  4 Cl 3.02, 4 Mo 3.02
Li: 0.2500 0.7500 0.2500  4 Cl 3.02, 4 Mo 3.02
Li: 0.2500 0.7500 0.7500  4 Cl 3.02, 4 Mo 3.02
Li: 0.7500 0.2500 0.2500  4 Cl 3.02, 4 Mo 3.02
Li: 0.7500 0.2500 0.7500  4 Cl 3.02, 4 Mo 3.02
Li: 0.7500 0.7500 0.2500  4 Cl 3.02, 4 Mo 3.02
Li: 0.7500 0.7500 0.7500  4 Cl 3.02, 4 Mo 3.02
Mo: 0.0000 0.0000 0.0000  8 Li 3.02
Mo: 0.0000 0.5000 0.5000  8 Li 3.02
Mo: 0.5000 0.0000 0.5000  8 Li 3.02
Mo: 0.5000 0.5000 0.0000  8 Li 3.02
Cl: 0.0000 0.0000 0.5000  8 Li 3.02
Cl: 0.0000 0.5000 0.0000  8 Li 3.02
Cl: 0.5000 0.0000 0.0000  8 Li 3.02
Cl: 0.5000 0.5000 0.5000  8 Li 3.02

***

Model b:
Density functional theory data (PBE-GGA) for Li2MoCl after structural relaxation.

Calculated values
density of states at the Fermi level = 1.7 states/eV per cell
space-group type = Pm (6)
total magnetic moment = 0.00 Bohr magnetons per cell

Cell: 2.7814 4.5539 5.2694 Å, 90.00 90.37 90.00°
Closest atoms and distances in Å follow each position.
Fractional positions:
Li: 0.0000 0.0000 0.0000  2 Cl 2.42-2.43
Li: 0.0072 0.5000 0.7172  4 Li 2.72-2.78, 4 Mo 2.96-2.99
Mo: 0.5042 0.5000 0.2149  2 Cl 2.43
Cl: 0.5056 0.0000 0.3774  2 Li 2.42-2.43, 2 Mo 2.43

***

Model c:
Density functional theory data (PBE-GGA) for Li2MoCl after structural relaxation.

Calculated values
density of states at the Fermi level = 3.5 states/eV per cell
space-group type = Pmmm (47)
total magnetic moment = 0.00 Bohr magnetons per cell

Cell: 2.8963 4.5137 4.5844 Å, 90.00 90.00 90.00°
Closest atoms and distances in Å follow each position.
Fractional positions:
Li: 0.0000 0.0000 0.0000  6 Li 2.68-2.90, 4 Cl 2.71
Li: 0.5000 0.5000 0.0000  6 Li 2.68-2.90, 4 Mo 2.71
Mo: 0.0000 0.5000 0.5000  4 Cl 2.68, 4 Li 2.71, 2 Mo 2.90
Cl: 0.5000 0.0000 0.5000  4 Mo 2.68, 4 Li 2.71, 2 Cl 2.90

***

Stability ranking, top entry: model b; the second entry is 0.242 eV/atom less favorable.

***

Model a:
Density functional theory data (PBE-GGA) for Li2MoCl after structural relaxation.

Calculated values
density of states at the Fermi level = 6.5 states/eV per cell
space-group type = R-3m (166)
total magnetic moment = 0.86 Bohr magnetons per cell

Cell: 2.9623 2.9623 24.9821 Å, 90.00 90.00 120.00°
Closest atoms and distances in Å follow each position.
Fractional positions:
Li: 0.0000 0.0000 0.2318  3 Cl 2.36
Li: 0.0000 0.0000 0.7682  3 Cl 2.36
Li: 0.3333 0.6667 0.4349  3 Cl 2.36
Li: 0.3333 0.6667 0.8985  3 Cl 2.36
Li: 0.6667 0.3333 0.1015  3 Cl 2.36
Li: 0.6667 0.3333 0.5651  3 Cl 2.36
Mo: 0.0000 0.0000 0.0000  6 Mo 2.96, 6 Li 3.06
Mo: 0.3333 0.6667 0.6667  6 Mo 2.96, 6 Li 3.06
Mo: 0.6667 0.3333 0.3333  6 Mo 2.96, 6 Li 3.06
Cl: 0.0000 0.0000 0.5000  6 Li 2.36
Cl: 0.3333 0.6667 0.1667  6 Li 2.36
Cl: 0.6667 0.3333 0.8333  6 Li 2.36

***

Model b:
Density functional theory data (PBE-GGA) for Li2MoCl after structural relaxation.

Calculated values
density of states at the Fermi level = 6.8 states/eV per cell
space-group type = Immm (71)
total magnetic moment = 0.00 Bohr magnetons per cell

Cell: 2.8360 4.4817 9.3725 Å, 90.00 90.00 90.00°
Closest atoms and distances in Å follow each position.
Fractional positions:
Li: 0.0000 0.0000 0.2142  2 Cl 2.46, 4 Li 2.74
Li: 0.0000 0.0000 0.7858  2 Cl 2.46, 4 Li 2.74
Li: 0.5000 0.5000 0.2858  2 Cl 2.46, 4 Li 2.74
Li: 0.5000 0.5000 0.7142  2 Cl 2.46, 4 Li 2.74
Mo: 0.0000 0.5000 0.0000  4 Cl 2.65, 2 Mo 2.84
Mo: 0.5000 0.0000 0.5000  4 Cl 2.65, 2 Mo 2.84
Cl: 0.0000 0.5000 0.5000  4 Li 2.46, 4 Mo 2.65
Cl: 0.5000 0.0000 0.0000  4 Li 2.46, 4 Mo 2.65

***

Model c:
Density functional theory data (PBE-GGA) for Li2MoCl after structural relaxation.

Calculated values
density of states at the Fermi level = 2.8 states/eV per cell
space-group type = P4/mmm (123)
total magnetic moment = 0.25 Bohr magnetons per cell

Cell: 2.8194 2.8194 7.8785 Å, 90.00 90.00 90.00°
Closest atoms and distances in Å follow each position.
Fractional positions:
Li: 0.0000 0.0000 0.1944  4 Cl 2.51
Li: 0.0000 0.0000 0.8056  4 Cl 2.51
Mo: 0.5000 0.5000 0.5000  4 Mo 2.82, 8 Li 3.13
Cl: 0.5000 0.5000 0.0000  8 Li 2.51

***

Model d:
Density functional theory data (PBE-GGA) for Li2MoCl after structural relaxation.

Calculated values
density of states at the Fermi level = 2.9 states/eV per cell
space-group type = P4mm (99)
total magnetic moment = 0.22 Bohr magnetons per cell

Cell: 2.9580 2.9580 8.3529 Å, 90.00 90.00 90.00°
Closest atoms and distances in Å follow each position.
Fractional positions:
Li: 0.0000 0.0000 0.0000  4 Cl 2.21
Li: 0.5000 0.5000 0.2123  1 Cl 2.50, 4 Li 2.74
Mo: 0.0000 0.0000 0.4354  4 Li 2.80, 4 Mo 2.96
Cl: 0.5000 0.5000 0.9134  4 Li 2.21

***

Stability ranking, top entry: model a; the second entry is 0.058 eV/atom less favorable.

***

Model a:
Density functional theory data (PBE-GGA) for Li2MoCl after structural relaxation.

Calculated values
density of states at the Fermi level = 5.2 states/eV per cell
space-group type = Cmmm (65)
total magnetic moment = 0.00 Bohr magnetons per cell

Cell: 4.8296 9.1257 2.8189 Å, 90.00 90.00 90.00°
Closest atoms and distances in Å follow each position.
Fractional positions:
Li: 0.2500 0.2500 0.0000  2 Li 2.41
Li: 0.2500 0.7500 0.0000  2 Li 2.41
Li: 0.7500 0.2500 0.0000  2 Li 2.41
Li: 0.7500 0.7500 0.0000  2 Li 2.41
Mo: 0.0000 0.0000 0.5000  2 Cl 2.41
Mo: 0.5000 0.5000 0.5000  2 Cl 2.41
Cl: 0.0000 0.5000 0.5000  2 Mo 2.41
Cl: 0.5000 0.0000 0.5000  2 Mo 2.41

***

Model b:
Density functional theory data (PBE-GGA) for Li2MoCl after structural relaxation.

Calculated values
density of states at the Fermi level = 8.9 states/eV per cell
space-group type = F-43m (216)
total magnetic moment = 18.97 Bohr magnetons per cell

Cell: 6.8119 6.8119 6.8119 Å, 90.00 90.00 90.00°
Closest atoms and distances in Å follow each position.
Fractional positions:
Li: 0.0000 0.0000 0.0000  4 Mo 2.95, 4 Li 2.95
Li: 0.0000 0.5000 0.5000  4 Mo 2.95, 4 Li 2.95
Li: 0.2500 0.2500 0.2500  4 Cl 2.95, 4 Li 2.95
Li: 0.2500 0.7500 0.7500  4 Cl 2.95, 4 Li 2.95
Li: 0.5000 0.0000 0.5000  4 Mo 2.95, 4 Li 2.95
Li: 0.5000 0.5000 0.0000  4 Mo 2.95, 4 Li 2.95
Li: 0.7500 0.2500 0.7500  4 Cl 2.95, 4 Li 2.95
Li: 0.7500 0.7500 0.2500  4 Cl 2.95, 4 Li 2.95
Mo: 0.2500 0.2500 0.7500  4 Cl 2.95, 4 Li 2.95
Mo: 0.2500 0.7500 0.2500  4 Cl 2.95, 4 Li 2.95
Mo: 0.7500 0.2500 0.2500  4 Cl 2.95, 4 Li 2.95
Mo: 0.7500 0.7500 0.7500  4 Cl 2.95, 4 Li 2.95
Cl: 0.0000 0.0000 0.5000  4 Li 2.95, 4 Mo 2.95
Cl: 0.0000 0.5000 0.0000  4 Li 2.95, 4 Mo 2.95
Cl: 0.5000 0.0000 0.0000  4 Li 2.95, 4 Mo 2.95
Cl: 0.5000 0.5000 0.5000  4 Li 2.95, 4 Mo 2.95

***

Model c:
Density functional theory data (PBE-GGA) for Li2MoCl after structural relaxation.

Calculated values
density of states at the Fermi level = 6.5 states/eV per cell
space-group type = I-4m2 (119)
total magnetic moment = 5.90 Bohr magnetons per cell

Cell: 3.6966 3.6966 9.7266 Å, 90.00 90.00 90.00°
Closest atoms and distances in Å follow each position.
Fractional positions:
Li: 0.0000 0.0000 0.0000  4 Cl 2.61
Li: 0.0000 0.5000 0.2500  4 Mo 2.61
Li: 0.5000 0.0000 0.7500  4 Mo 2.61
Li: 0.5000 0.5000 0.5000  4 Cl 2.61
Mo: 0.0000 0.5000 0.7500  4 Li 2.61
Mo: 0.5000 0.0000 0.2500  4 Li 2.61
Cl: 0.0000 0.0000 0.5000  4 Li 2.61
Cl: 0.5000 0.5000 0.0000  4 Li 2.61

***

Stability ranking, top entry: model a; the second entry is 0.275 eV/atom less favorable.

***

Model a:
Density functional theory data (PBE-GGA) for LiMoCl2 after structural relaxation.

Calculated values
density of states at the Fermi level = 3.2 states/eV per cell
space-group type = Immm (71)
total magnetic moment = 3.81 Bohr magnetons per cell

Cell: 3.0669 6.5052 7.8571 Å, 90.00 90.00 90.00°
Closest atoms and distances in Å follow each position.
Fractional positions:
Li: 0.0000 0.0000 0.0000  4 Cl 2.50
Li: 0.5000 0.5000 0.5000  4 Cl 2.50
Mo: 0.0000 0.0000 0.5000  4 Cl 2.48
Mo: 0.5000 0.5000 0.0000  4 Cl 2.48
Cl: 0.0000 0.5000 0.2480  2 Mo 2.48, 2 Li 2.50
Cl: 0.0000 0.5000 0.7520  2 Mo 2.48, 2 Li 2.50
Cl: 0.5000 0.0000 0.2520  2 Mo 2.48, 2 Li 2.50
Cl: 0.5000 0.0000 0.7480  2 Mo 2.48, 2 Li 2.50

***

Model b:
Density functional theory data (PBE-GGA) for LiMoCl2 after structural relaxation.

Calculated values
density of states at the Fermi level = 3.0 states/eV per cell
space-group type = C2/m (12)
total magnetic moment = 0.00 Bohr magnetons per cell

Cell: 7.5768 3.1266 5.7358 Å, 90.00 106.24 90.00°
Closest atoms and distances in Å follow each position.
Fractional positions:
Li: 0.0000 0.0000 0.0000  6 Cl 2.58-2.79
Li: 0.5000 0.5000 0.0000  6 Cl 2.58-2.79
Mo: 0.0000 0.5000 0.5000  6 Cl 2.55-2.56
Mo: 0.5000 0.0000 0.5000  6 Cl 2.55-2.56
Cl: 0.2452 0.5000 0.2695  3 Mo 2.55-2.56, 3 Li 2.58-2.79
Cl: 0.2548 0.0000 0.7305  3 Mo 2.55-2.56, 3 Li 2.58-2.79
Cl: 0.7452 0.0000 0.2695  3 Mo 2.55-2.56, 3 Li 2.58-2.79
Cl: 0.7548 0.5000 0.7305  3 Mo 2.55-2.56, 3 Li 2.58-2.79

***

Model c:
Density functional theory data (PBE-GGA) for LiMoCl2 after structural relaxation.

Calculated values
density of states at the Fermi level = 10.5 states/eV per cell
space-group type = F-43m (216)
total magnetic moment = 20.00 Bohr magnetons per cell

Cell: 6.9100 6.9100 6.9100 Å, 90.00 90.00 90.00°
Closest atoms and distances in Å follow each position.
Fractional positions:
Li: 0.0000 0.0000 0.0000  4 Mo 2.99, 4 Cl 2.99
Li: 0.0000 0.5000 0.5000  4 Mo 2.99, 4 Cl 2.99
Li: 0.5000 0.0000 0.5000  4 Mo 2.99, 4 Cl 2.99
Li: 0.5000 0.5000 0.0000  4 Mo 2.99, 4 Cl 2.99
Mo: 0.2500 0.2500 0.2500  4 Cl 2.99, 4 Li 2.99
Mo: 0.2500 0.7500 0.7500  4 Cl 2.99, 4 Li 2.99
Mo: 0.7500 0.2500 0.7500  4 Cl 2.99, 4 Li 2.99
Mo: 0.7500 0.7500 0.2500  4 Cl 2.99, 4 Li 2.99
Cl: 0.0000 0.0000 0.5000  4 Cl 2.99, 4 Mo 2.99
Cl: 0.0000 0.5000 0.0000  4 Cl 2.99, 4 Mo 2.99
Cl: 0.2500 0.2500 0.7500  4 Cl 2.99, 4 Li 2.99
Cl: 0.2500 0.7500 0.2500  4 Cl 2.99, 4 Li 2.99
Cl: 0.5000 0.0000 0.0000  4 Cl 2.99, 4 Mo 2.99
Cl: 0.5000 0.5000 0.5000  4 Cl 2.99, 4 Mo 2.99
Cl: 0.7500 0.2500 0.2500  4 Cl 2.99, 4 Li 2.99
Cl: 0.7500 0.7500 0.7500  4 Cl 2.99, 4 Li 2.99

***

Stability ranking, top entry: model b; the second entry is 0.067 eV/atom less favorable.

***

Model a:
Density functional theory data (PBE-GGA) for LiMoCl3 after structural relaxation.

Calculated values
density of states at the Fermi level = 1.4 states/eV per cell
space-group type = Pm-3m (221)
total magnetic moment = 3.90 Bohr magnetons per cell

Cell: 5.1136 5.1136 5.1136 Å, 90.00 90.00 90.00°
Closest atoms and distances in Å follow each position.
Fractional positions:
Li: 0.0000 0.0000 0.0000  12 Cl 3.62
Mo: 0.5000 0.5000 0.5000  6 Cl 2.56
Cl: 0.0000 0.5000 0.5000  2 Mo 2.56
Cl: 0.5000 0.0000 0.5000  2 Mo 2.56
Cl: 0.5000 0.5000 0.0000  2 Mo 2.56

***

Model b:
Density functional theory data (PBE-GGA) for LiMoCl3 after structural relaxation.

Calculated values
density of states at the Fermi level = 5.7 states/eV per cell
space-group type = Pm-3m (221)
total magnetic moment = 4.00 Bohr magnetons per cell

Cell: 4.6411 4.6411 4.6411 Å, 90.00 90.00 90.00°
Closest atoms and distances in Å follow each position.
Fractional positions:
Li: 0.0000 0.0000 0.0000  6 Cl 2.32
Mo: 0.5000 0.5000 0.5000  12 Cl 3.28
Cl: 0.0000 0.0000 0.5000  2 Li 2.32
Cl: 0.0000 0.5000 0.0000  2 Li 2.32
Cl: 0.5000 0.0000 0.0000  2 Li 2.32

***

Stability ranking, top entry: model a; the second entry is 0.393 eV/atom less favorable.